DFT (PBE) results for crystalline Ca2TcHgN at its relaxed geometry.

Properties
SG: P4/mmm
formation energy from raw total energies: -0.4472 eV per atom

Lattice parameters (Å, degrees): 5.0920 5.0920 3.8856 90.00 90.00 90.00
Sites, in units of the cell vectors:
Ca1 0.0000 0.5000 0.0000
Ca2 0.5000 0.0000 0.0000
Tc1 0.0000 0.0000 0.5000
Hg1 0.5000 0.5000 0.5000
N1 0.0000 0.0000 0.0000

=====

DFT (PBE) results for crystalline CeHf4Se8 at its relaxed geometry.

Properties
SG: R-3m
ΔE to the lowest computed polymorph: 0 meV/atom
formation energy from raw total energies: -1.4269 eV per atom

Lattice parameters (Å, degrees): 8.1114 8.1114 8.1114 55.33 55.33 55.33
Sites, in units of the cell vectors:
Ce1 0.0000 0.0000 0.0000
Hf1 0.0000 0.0000 0.5000
Hf2 0.0000 0.5000 0.0000
Hf3 0.5000 0.0000 0.0000
Hf4 0.5000 0.5000 0.5000
Se1 0.2429 0.2429 0.2429
Se2 0.2553 0.7405 0.7405
Se3 0.2595 0.2595 0.7447
Se4 0.2595 0.7447 0.2595
Se5 0.7405 0.2553 0.7405
Se6 0.7405 0.7405 0.2553
Se7 0.7447 0.2595 0.2595
Se8 0.7571 0.7571 0.7571

=====

no.,ρ (Mg/m³)
1,6.473
2,7.333